Compound: Cd3NiRh3O8
Source: Alexandria
Functional: GGA+U
Structure: relaxed

The calculation puts the total energy at -5.139 eV per atom.

Lattice parameters (Å, degrees): 6.2685 6.2661 6.5262 118.71 90.00 120.01
Last column: nearest neighbours and their distance in Å.
Fractional positions:
O (0.7691, 0.0271, 0.2969)  1 Ni 2.08, 2 Rh 2.14
O (0.2306, 0.4612, 0.7034)  1 Ni 2.08, 2 Rh 2.14
O (0.7307, 0.4613, 0.6911)  3 Rh 2.08-2.09
O (0.7694, 0.5388, 0.2966)  1 Ni 2.08, 2 Rh 2.14
O (0.7420, 0.9729, 0.7031)  1 Ni 2.08, 2 Rh 2.14
O (0.2309, 0.9729, 0.7031)  1 Ni 2.08, 2 Rh 2.14
O (0.2693, 0.5387, 0.3089)  3 Rh 2.08-2.09
O (0.2580, 0.0271, 0.2969)  1 Ni 2.08, 2 Rh 2.14
Ni (0.0000, 0.0000, 0.5000)  6 O 2.08
Rh (0.5000, 0.5000, 0.5000)  6 O 2.08-2.14
Rh (0.0000, 0.5000, 0.5000)  6 O 2.08-2.14
Rh (0.5000, 0.0000, 0.5000)  6 O 2.09-2.14
Cd (0.5000, 0.5000, 0.0000)  6 O 2.41-2.47
Cd (0.0000, 0.5000, 0.0000)  6 O 2.41-2.47
Cd (0.0000, 0.0000, 0.0000)  6 O 2.41-2.46